# 1
VASP calculation (PBE) on a geometry-optimized Pm6GeSe12 structure.

Properties
As for the crystal system: trigonal. The value obtained for the uncorrected formation energy is -1.4302 eV/atom. The density of states at the Fermi level is 14.42 states/eV per cell.

```
Pm6GeSe12
1.0
-4.150 -7.112 0.632
7.653 -2.989 0.841
-1.087 2.722 7.721
Pm Se Ge
6 12 1
direct
0.361 0.688 0.866 Pm
0.639 0.312 0.134 Pm
0.688 0.866 0.361 Pm
0.866 0.361 0.688 Pm
0.134 0.639 0.312 Pm
0.312 0.134 0.639 Pm
0.434 0.577 0.184 Se
0.423 0.816 0.566 Se
0.957 0.017 0.676 Se
0.324 0.043 0.983 Se
0.816 0.566 0.423 Se
0.043 0.983 0.324 Se
0.577 0.184 0.434 Se
0.017 0.676 0.957 Se
0.566 0.423 0.816 Se
0.184 0.434 0.577 Se
0.983 0.324 0.043 Se
0.676 0.957 0.017 Se
0.000 0.000 0.000 Ge
```

# 2
VASP calculation (PBE) on a geometry-optimized FeCuSi3 structure.

Properties
As for the crystal system: cubic. The value obtained for the uncorrected formation energy is 0.4427 eV/atom. The calculation puts the polymorph energy (0 for the lowest one) at 0 meV/atom. The density of states at the Fermi level is 5.28 states/eV per cell.

```
FeCuSi3
1.0
-1.652 -1.777 3.584
-2.965 -2.058 -2.388
2.685 -3.367 -0.432
Si Cu Fe
3 1 1
direct
0.000 0.000 0.500 Si
0.000 0.500 0.000 Si
0.500 0.000 0.000 Si
0.500 0.500 0.500 Cu
0.000 0.000 0.000 Fe
```

# 3
VASP calculation (PBE) on a geometry-optimized La2Pr3TaN6 structure.

Properties
As for the crystal system: monoclinic. The value obtained for the uncorrected formation energy is -1.2653 eV/atom. The density of states at the Fermi level is 2.30 states/eV per cell.

```
La2Pr3TaN6
1.0
6.242 -0.004 0.008
-3.123 5.404 0.008
-1.033 -1.788 5.804
N La Ta Pr
6 2 1 3
direct
0.363 0.074 0.219 N
0.926 0.637 0.781 N
0.637 0.926 0.781 N
0.218 0.218 0.769 N
0.074 0.363 0.219 N
0.782 0.782 0.231 N
0.333 0.667 0.000 La
0.667 0.333 0.000 La
0.000 0.000 0.000 Ta
0.837 0.163 0.500 Pr
0.163 0.837 0.500 Pr
0.500 0.500 0.500 Pr
```

# 4
VASP calculation (PBE) on a geometry-optimized TaCd2Si structure.

Properties
As for the crystal system: tetragonal. The value obtained for the uncorrected formation energy is 0.3704 eV/atom. The density of states at the Fermi level is 2.35 states/eV per cell.

```
TaCd2Si
1.0
-2.093 -3.993 -2.757
-1.305 -4.188 2.947
-0.933 5.193 0.306
Cd Si Ta
2 1 1
direct
0.000 0.000 0.000 Cd
0.250 0.750 0.500 Cd
0.500 0.500 0.000 Si
0.750 0.250 0.500 Ta
```

# 5
VASP calculation (PBE) on a geometry-optimized Ti2RuPtCl structure.

Properties
As for the crystal system: tetragonal. The value obtained for the uncorrected formation energy is 1.0909 eV/atom. The density of states at the Fermi level is 6.22 states/eV per cell.

```
Ti2RuPtCl
1.0
-1.337 4.395 1.567
-3.315 0.117 -3.156
-3.070 -2.056 3.148
Ti Pt Ru Cl
2 1 1 1
direct
0.500 0.000 0.000 Ti
0.000 0.000 0.500 Ti
0.000 0.000 0.000 Pt
0.500 0.500 0.500 Ru
0.000 0.500 0.000 Cl
```

# 6
VASP calculation (PBE) on a geometry-optimized KCaNi2 structure.

Properties
As for the crystal system: monoclinic. The calculation puts the polymorph energy (0 for the lowest one) at 185 meV/atom. The density of states at the Fermi level is 3.96 states/eV per cell.

```
KCaNi2
1.0
5.364 -0.008 -0.005
3.772 3.814 -0.005
3.911 1.629 6.014
Ca Ni K
1 2 1
direct
0.250 0.250 0.250 Ca
0.512 0.512 0.294 Ni
0.988 0.988 0.206 Ni
0.750 0.750 0.750 K
```

# 7
VASP calculation (PBE) on a geometry-optimized Nd5Er5Sc2 structure.

Properties
The value obtained for the total energy is -4.91 eV per atom. As for the crystal system: monoclinic. The density of states at the Fermi level is 17.99 states/eV per cell.

```
Nd5Er5Sc2
1.0
0.859 4.746 -1.231
-1.647 4.537 6.278
9.241 2.186 4.813
Nd Sc Er
5 2 5
direct
0.666 0.667 0.001 Nd
0.500 0.500 0.500 Nd
0.418 0.912 0.251 Nd
0.334 0.333 0.999 Nd
0.582 0.088 0.749 Nd
0.084 0.581 0.251 Sc
0.916 0.419 0.749 Sc
0.166 0.169 0.499 Er
0.834 0.831 0.501 Er
0.746 0.254 0.254 Er
0.000 0.000 0.000 Er
0.254 0.746 0.746 Er
```

# 8
VASP calculation (PBE) on a geometry-optimized KRbIr3 structure.

Properties
As for the crystal system: cubic. The calculation puts the polymorph energy (0 for the lowest one) at 31 meV/atom. The density of states at the Fermi level is 8.61 states/eV per cell.

```
KRbIr3
1.0
5.133 0.000 0.000
0.000 5.133 0.000
0.000 0.000 5.133
K Rb Ir
1 1 3
direct
0.500 0.500 0.500 K
0.000 0.000 0.000 Rb
0.500 0.000 0.000 Ir
0.000 0.000 0.500 Ir
0.000 0.500 0.000 Ir
```

# 9
VASP calculation (PBE) on a geometry-optimized HoTlC2O6 structure.

Properties
As for the crystal system: monoclinic. The value obtained for the uncorrected formation energy is -1.9401 eV/atom. The density of states at the Fermi level is 0.00 states/eV per cell.

```
HoTlC2O6
1.0
-2.947 3.867 4.225
-5.462 -1.505 -3.064
1.601 -5.903 3.798
C Ho O Tl
4 2 12 2
direct
0.852 0.598 0.742 C
0.148 0.402 0.258 C
0.598 0.852 0.242 C
0.402 0.148 0.758 C
0.594 0.406 0.250 Ho
0.406 0.594 0.750 Ho
0.947 0.400 0.247 O
0.299 0.538 0.403 O
0.727 0.781 0.376 O
0.400 0.947 0.747 O
0.219 0.273 0.124 O
0.273 0.219 0.624 O
0.538 0.299 0.903 O
0.701 0.462 0.597 O
0.462 0.701 0.097 O
0.053 0.600 0.753 O
0.600 0.053 0.253 O
0.781 0.727 0.876 O
0.105 0.895 0.250 Tl
0.895 0.105 0.750 Tl
```

# 10
VASP calculation (PBE) on a geometry-optimized Nb2V3Rh structure.

Properties
The value obtained for the total energy is -9.29 eV per atom. As for the crystal system: monoclinic. The density of states at the Fermi level is 11.39 states/eV per cell.

```
Nb2V3Rh
1.0
4.413 0.000 0.000
0.000 7.970 -1.634
0.000 0.127 5.143
Nb Rh V
4 2 6
direct
0.993 0.544 0.367 Nb
0.493 0.799 0.625 Nb
0.493 0.456 0.633 Nb
0.993 0.201 0.375 Nb
0.493 0.286 0.115 Rh
0.993 0.714 0.885 Rh
0.993 0.367 0.869 V
0.493 0.633 0.131 V
0.993 0.040 0.865 V
0.493 0.960 0.135 V
0.993 0.881 0.367 V
0.493 0.119 0.633 V
```

# 11
VASP calculation (PBE) on a geometry-optimized Mn2BeCu structure.

Properties
The value obtained for the total energy is -6.43 eV per atom. As for the crystal system: monoclinic. The density of states at the Fermi level is 3.13 states/eV per cell.

```
Mn2BeCu
1.0
3.826 0.000 0.000
0.000 2.401 -0.013
0.000 0.685 4.566
Mn Be Cu
2 1 1
direct
0.500 0.234 0.244 Mn
0.000 0.041 0.025 Mn
0.000 0.546 0.499 Be
0.500 0.679 0.732 Cu
```

# 12
VASP calculation (PBE) on a geometry-optimized PtN structure.

Properties
As for the crystal system: triclinic. The value obtained for the uncorrected formation energy is 0.4369 eV/atom. The density of states at the Fermi level is 2.41 states/eV per cell.

```
PtN
1.0
-0.575 1.238 -2.361
-1.119 -3.729 -1.683
-7.565 1.953 4.195
N Pt
2 2
direct
0.406 0.372 0.948 N
0.372 0.145 0.865 N
0.903 0.734 0.370 Pt
0.431 0.256 0.438 Pt
```